# NbNiHg3

A geometry-optimized NbNiHg3 structure (PBE, Alexandria).

Lattice parameters (Å, degrees): 5.388 5.388 5.388 90.00 90.00 90.00
Element x y z (fractional)
1 Nb 0.000 0.000 0.000
2 Ni 0.500 0.500 0.500
3 Hg 0.000 0.000 0.500
4 Hg 0.000 0.500 0.000
5 Hg 0.500 0.000 0.000

Properties
The total energy is -1.974 eV/atom. The calculation puts the formation enthalpy at 0 K at 1377 meV/atom. The polymorph energy (0 for the lowest one) comes out at 517 meV per atom. The density of states at the Fermi level is 1.829 states/eV per atom.